Record 1
# DyTmFe2Si4, optimized geometry, DFT GGA-PBE
# Total magnetization in μB per cell: 0.05
# Total energy in eV per atom: -6.527
data_DyTmFe2Si4
_cell_length_a 3.922
_cell_length_b 8.503
_cell_length_c 8.503
_cell_angle_alpha 27.22
_cell_angle_beta 90.00
_cell_angle_gamma 90.00
_space_group_name_H-M_alt 'P 1'
_space_group_IT_number 1
loop_
_space_group_symop_operation_xyz
'x,y,z'
loop_
_atom_site_label
_atom_site_type_symbol
_atom_site_fract_x
_atom_site_fract_y
_atom_site_fract_z
Si1 Si 0.000 0.957 0.957
Si2 Si 0.500 0.750 0.750
Si3 Si 0.500 0.042 0.042
Si4 Si 0.000 0.251 0.251
Fe1 Fe 0.000 0.823 0.823
Fe2 Fe 0.500 0.177 0.177
Dy1 Dy 0.000 0.609 0.609
Tm1 Tm 0.500 0.391 0.391

Record 2
# DyYFe2Si4, optimized geometry, DFT GGA-PBE
# Total magnetization in μB per cell: 0.13
# Total energy in eV per atom: -6.783
data_DyYFe2Si4
_cell_length_a 3.957
_cell_length_b 8.467
_cell_length_c 8.467
_cell_angle_alpha 27.61
_cell_angle_beta 90.00
_cell_angle_gamma 90.00
_space_group_name_H-M_alt 'P 1'
_space_group_IT_number 1
loop_
_space_group_symop_operation_xyz
'x,y,z'
loop_
_atom_site_label
_atom_site_type_symbol
_atom_site_fract_x
_atom_site_fract_y
_atom_site_fract_z
Dy1 Dy 0.000 0.608 0.608
Si1 Si 0.500 0.749 0.749
Si2 Si 0.500 0.043 0.043
Si3 Si 0.000 0.250 0.250
Si4 Si 0.000 0.957 0.957
Y1 Y 0.500 0.392 0.392
Fe1 Fe 0.000 0.821 0.821
Fe2 Fe 0.500 0.179 0.179

Record 3
# SmDyTlFe2, optimized geometry, DFT GGA-PBE
# Total magnetization in μB per cell: 1.65
# Total energy in eV per atom: -5.783
data_SmDyTlFe2
_cell_length_a 3.936
_cell_length_b 7.278
_cell_length_c 7.278
_cell_angle_alpha 30.64
_cell_angle_beta 90.00
_cell_angle_gamma 90.00
_space_group_name_H-M_alt 'P 1'
_space_group_IT_number 1
loop_
_space_group_symop_operation_xyz
'x,y,z'
loop_
_atom_site_label
_atom_site_type_symbol
_atom_site_fract_x
_atom_site_fract_y
_atom_site_fract_z
Fe1 Fe 0.000 0.209 0.209
Fe2 Fe 0.000 0.787 0.787
Dy1 Dy 0.500 0.638 0.638
Tl1 Tl 0.000 0.002 0.002
Sm1 Sm 0.500 0.363 0.363

Record 4
# DyTaFe, optimized geometry, DFT GGA-PBE
# Total magnetization in μB per cell: 0.82
# Offset from the most stable computed form in eV per atom: 1.2212
# ΔH_f (0 K) in eV per atom: 1.633
# Total energy in eV per atom: -6.622
data_DyTaFe
_cell_length_a 4.415
_cell_length_b 4.415
_cell_length_c 4.415
_cell_angle_alpha 60.00
_cell_angle_beta 60.00
_cell_angle_gamma 60.00
_space_group_name_H-M_alt 'P 1'
_space_group_IT_number 1
loop_
_space_group_symop_operation_xyz
'x,y,z'
loop_
_atom_site_label
_atom_site_type_symbol
_atom_site_fract_x
_atom_site_fract_y
_atom_site_fract_z
Fe1 Fe 0.250 0.250 0.250
Dy1 Dy 0.000 0.000 0.000
Ta1 Ta 0.750 0.750 0.750